No. 1
# Tb8PrTm6

A relaxed Tb8PrTm6 crystal (PBE, Alexandria).

Cell and atoms, written as extended XYZ:
```
15
Lattice="-0.4552 6.6342 6.0301 -3.1108 -1.6463 8.2580 5.1743 0.1878 6.8656" Properties=species:S:1:pos:R:3 pbc="T T T"
Tm -1.1601 0.7390 6.7038
Tm 2.7684 4.4368 14.4500
Tm 1.5546 1.7644 16.2483
Tm 1.7870 4.8669 17.7212
Tm 0.0537 3.4114 4.9055
Tm -0.1786 0.3089 3.4326
Tb 1.7900 5.5875 11.4099
Tb 0.0899 0.5116 12.9940
Tb -0.3840 3.8496 13.3446
Tb -0.1817 -0.4117 9.7439
Tb 1.9923 1.3262 7.8092
Tb 2.2709 2.2479 11.0616
Tb -0.6625 2.9278 10.0922
Tb 1.5184 4.6642 8.1598
Pr 0.0000 0.0000 0.0000
```

Properties
Its crystal system is trigonal.


No. 2
# Tb2PrYTm

A relaxed Tb2PrYTm crystal (PBE, Alexandria).

Cell and atoms, written as extended XYZ:
```
10
Lattice="7.2357 0.0000 0.0000 0.0000 8.4273 0.0000 0.0000 -4.2136 5.7627" Properties=species:S:1:pos:R:3 pbc="T T T"
Tb 0.0000 5.8103 0.0000
Tb 3.6179 5.8103 0.0000
Tb 0.0000 2.6169 0.0000
Tb 3.6179 2.6169 0.0000
Tm 5.4268 4.2136 2.5471
Tm 1.8089 0.0000 3.2156
Pr 5.4268 0.0000 3.1344
Pr 1.8089 4.2136 2.6283
Y 1.8089 0.0000 0.0005
Y 5.4268 4.2136 5.7622
```

Properties
Its crystal system is orthorhombic.


No. 3
# Tb2Pr4YTm2

A relaxed Tb2Pr4YTm2 crystal (PBE, Alexandria).

Cell and atoms, written as extended XYZ:
```
9
Lattice="-2.0682 -4.3520 1.7162 7.9985 -1.0811 -0.7246 -1.3423 3.4638 7.1659" Properties=species:S:1:pos:R:3 pbc="T T T"
Tm -0.0355 0.1915 8.0652
Tm 4.6235 -2.1609 0.0923
Y 0.0000 0.0000 0.0000
Pr -0.7288 -1.3802 3.2441
Pr 5.3168 -0.5892 4.9134
Pr 1.9238 -1.6608 5.7292
Pr 2.6643 -0.3085 2.4283
Tb 3.9313 -3.5628 3.3252
Tb 0.6567 1.5935 4.8323
```

Properties
Its crystal system is monoclinic.


No. 4
# Tb5PrY2Tm

A relaxed Tb5PrY2Tm crystal (PBE, Alexandria).

Cell and atoms, written as extended XYZ:
```
18
Lattice="-4.9208 -0.9298 -2.6119 2.5734 -8.9583 4.4476 -5.1895 2.8583 8.7596" Properties=species:S:1:pos:R:3 pbc="T T T"
Tm -5.0491 -4.6470 5.0600
Tm -0.0163 -3.7440 1.3636
Tb -3.4945 -3.6784 1.7862
Tb -0.1171 -0.2910 0.3242
Tb -3.6937 -0.1669 0.9115
Tb -6.6331 -2.2571 7.1936
Tb -5.1429 -1.1139 3.9790
Tb -5.0679 -8.0341 6.3012
Tb -3.6072 -3.5911 8.0743
Tb -3.7243 -6.9285 9.4831
Tb -1.5637 -4.4092 4.5157
Tb -0.0261 -7.2201 2.6194
Y -3.5835 -7.1126 3.1765
Y -6.6241 -5.4012 8.2957
Y -3.7803 -0.0125 7.1265
Y -1.6304 -1.2334 3.5108
Pr -2.2634 -6.5352 6.5906
Pr -7.3934 0.6729 7.5828
```

Properties
Its crystal system is orthorhombic.


No. 5
# TbPrY3Tm

A relaxed TbPrY3Tm crystal (PBE, Alexandria).

Cell and atoms, written as extended XYZ:
```
12
Lattice="5.0569 0.0000 0.0000 -2.5285 7.5994 0.0000 0.0000 0.0000 10.1381" Properties=species:S:1:pos:R:3 pbc="T T T"
Y 2.5285 2.5369 0.0024
Y 0.0000 2.5539 7.6035
Y 0.0000 5.0625 10.1357
Y 2.5285 2.5369 5.0666
Y 0.0000 5.0625 5.0714
Y 2.5285 5.0455 2.5345
Tm 2.5285 5.0549 7.6035
Tm 0.0000 2.5445 2.5345
Tb 0.0000 0.0000 0.0000
Tb 0.0000 0.0000 5.0690
Pr 0.0000 7.5835 7.6035
Pr 2.5285 0.0158 2.5345
```

Properties
Its crystal system is orthorhombic.


No. 6
# Tb2Pr2Y6Tm

A relaxed Tb2Pr2Y6Tm crystal (PBE, Alexandria).

Cell and atoms, written as extended XYZ:
```
11
Lattice="-0.0101 5.6360 -3.1419 -0.8057 -5.8288 -2.6480 -10.2807 0.9670 5.8865" Properties=species:S:1:pos:R:3 pbc="T T T"
Y -2.9761 -1.7226 -2.4116
Y -8.3721 -1.1295 2.6644
Y -8.1204 2.4969 2.5082
Y -2.9460 0.2261 0.5033
Y -8.1505 0.5481 -0.4067
Y -2.7244 1.9037 -2.5678
Pr -0.6951 -4.2344 -2.7167
Pr -0.1207 4.0416 -3.0732
Tb -5.6926 -1.6925 0.1379
Tb -5.4039 2.4667 -0.0413
Tm -5.1403 0.4835 2.9433
```

Properties
Its crystal system is monoclinic.


No. 7
# Tb2Pr6Y3Tm

A relaxed Tb2Pr6Y3Tm crystal (PBE, Alexandria).

Cell and atoms, written as extended XYZ:
```
12
Lattice="-5.4037 2.9005 1.5231 3.6611 -2.4441 4.5339 6.2976 10.0406 -1.1371" Properties=species:S:1:pos:R:3 pbc="T T T"
Tb -2.3825 1.1192 2.5266
Tb 0.6399 -0.6628 3.5304
Pr 2.6400 1.7227 1.7309
Pr 4.2942 7.6536 0.6575
Pr -0.3769 3.5015 0.7289
Pr 4.9318 6.9955 4.1910
Pr 0.2607 2.8433 4.2624
Pr 1.9148 8.7743 3.1889
Tm 0.0000 0.0000 0.0000
Y 2.2774 5.2485 2.4599
Y -0.7444 7.0301 1.4563
Y 5.2993 3.4668 3.4636
```

Properties
Its crystal system is monoclinic.


No. 8
# TbPrYTm3

A relaxed TbPrYTm3 crystal (PBE, Alexandria).

Cell and atoms, written as extended XYZ:
```
12
Lattice="5.0249 0.0000 0.0000 -2.5125 7.5460 0.0000 0.0000 0.0000 10.0512" Properties=species:S:1:pos:R:3 pbc="T T T"
Tb 0.0000 0.0000 5.0256
Tb 0.0000 0.0000 0.0000
Tm 2.5125 5.0109 2.5128
Tm 0.0000 5.0121 5.0248
Tm 2.5125 2.5339 5.0263
Tm 0.0000 5.0121 0.0007
Tm 2.5125 2.5339 10.0504
Tm 0.0000 2.5350 7.5384
Y 2.5125 5.0001 7.5384
Y 0.0000 2.5459 2.5128
Pr 0.0000 7.5280 2.5128
Pr 2.5125 0.0180 7.5384
```

Properties
Its crystal system is orthorhombic.


No. 9
# Tb3PrYTm

A relaxed Tb3PrYTm crystal (PBE, Alexandria).

Cell and atoms, written as extended XYZ:
```
12
Lattice="-0.7050 3.4164 0.9366 -9.3892 -1.9137 -0.0874 4.5716 -2.0466 10.9067" Properties=species:S:1:pos:R:3 pbc="T T T"
Tb -2.6818 -2.1818 9.4218
Tb -1.8598 0.5101 7.1861
Tb 3.3019 -1.1324 10.0985
Tb -2.8408 1.6378 2.3341
Tb -3.6629 -1.0541 4.5698
Tb -8.8245 0.5885 1.6574
Y -0.3167 -0.2017 3.9796
Y -5.2060 -0.3423 7.7763
Pr 1.4938 -0.6787 7.0824
Pr -7.0164 0.1348 4.6735
Tm -5.4621 -0.5844 1.5023
Tm -0.0606 0.0404 10.2536
```

Properties
Its crystal system is monoclinic.


No. 10
# Tb2Pr6YTm3

A relaxed Tb2Pr6YTm3 crystal (PBE, Alexandria).

Cell and atoms, written as extended XYZ:
```
12
Lattice="6.2965 -0.0004 0.0078 -3.1471 5.4536 0.0078 -1.0620 -1.8388 11.6590" Properties=species:S:1:pos:R:3 pbc="T T T"
Pr -0.0133 3.6183 8.7309
Pr 2.1007 -0.0039 2.9439
Pr -1.0532 1.8176 2.9439
Pr -0.0078 -0.0136 8.7197
Pr 3.1407 1.7968 8.7309
Pr 2.0953 3.6279 2.9550
Tm -2.1035 3.6248 5.8374
Tm 1.0437 1.8072 5.8374
Tm 4.1909 -0.0105 5.8374
Tb 3.1485 1.8176 0.0078
Tb 0.0009 3.6355 0.0078
Y 0.0000 0.0000 0.0000
```

Properties
Its crystal system is monoclinic.


No. 11
# TbPrYTm

A relaxed TbPrYTm crystal (PBE, Alexandria).

Cell and atoms, written as extended XYZ:
```
4
Lattice="3.6939 0.0000 0.5671 0.0000 5.8961 0.0000 0.9442 -2.9481 6.1698" Properties=species:S:1:pos:R:3 pbc="T T T"
Y 1.8270 0.0000 1.8993
Tb 1.3864 2.9481 4.8508
Tm 3.6546 2.9481 2.3296
Pr 3.2169 0.0000 5.2974
```

Properties
Its crystal system is monoclinic.


No. 12
# Tb3PrY6Tm2

A relaxed Tb3PrY6Tm2 crystal (PBE, Alexandria).

Cell and atoms, written as extended XYZ:
```
12
Lattice="-5.7485 -0.5141 2.1886 1.7144 -3.2567 -4.9552 4.7524 -7.4767 7.8349" Properties=species:S:1:pos:R:3 pbc="T T T"
Tb 2.8436 -6.5368 0.1558
Tb -2.1254 -4.7107 4.9125
Tb 0.3591 -5.6237 2.5341
Y -1.0712 -2.3609 2.4604
Y 1.7895 -8.8866 2.6078
Y -0.7053 -7.9698 4.9960
Y 2.5530 -6.5506 5.1818
Y -1.8347 -4.6969 -0.1135
Y 1.4236 -3.2777 0.0723
Tm -0.7735 -2.3424 -2.5737
Tm -3.2606 -1.4284 -0.1929
Pr 0.0000 0.0000 0.0000
```

Properties
Its crystal system is monoclinic.


Number 1: formation energy from the elements 0.138 eV/atom, energy -4.44 eV/atom. Number 2: formation energy from the elements 0.395 eV/atom, energy -4.60 eV/atom. Number 3: formation energy from the elements 0.025 eV/atom, energy -4.84 eV/atom. Number 4: formation energy from the elements 0.156 eV/atom, energy -4.88 eV/atom. Number 5: formation energy from the elements 0.024 eV/atom, energy -5.52 eV/atom. Number 6: formation energy from the elements 0.158 eV/atom, energy -5.49 eV/atom. Number 7: formation energy from the elements 0.009 eV/atom, energy -5.14 eV/atom. Number 8: formation energy from the elements 0.027 eV/atom, energy -4.85 eV/atom. Number 9: formation energy from the elements 0.003 eV/atom, energy -4.93 eV/atom. Number 10: formation energy from the elements 0.013 eV/atom, energy -4.80 eV/atom. Number 11: formation energy from the elements 0.122 eV/atom, energy -4.96 eV/atom. Number 12: formation energy from the elements 0.021 eV/atom, energy -5.51 eV/atom.